# 1
Density functional theory data (PBE-GGA) for a relaxed structure of MgFe2Pd9.

Summary:
Space group   P4/mmm, No. 123

Cell lengths 3.9180, 3.9180, 11.7359 Å; angles 90.00, 90.00, 90.00 degrees
Fractional positions:
Mg (0.0000, 0.0000, 0.0000)
Fe (0.0000, 0.0000, 0.3325)
Fe (0.0000, 0.0000, 0.6675)
Pd (0.0000, 0.5000, 0.1737)
Pd (0.0000, 0.5000, 0.5000)
Pd (0.0000, 0.5000, 0.8263)
Pd (0.5000, 0.0000, 0.1737)
Pd (0.5000, 0.0000, 0.5000)
Pd (0.5000, 0.0000, 0.8263)
Pd (0.5000, 0.5000, 0.0000)
Pd (0.5000, 0.5000, 0.3368)
Pd (0.5000, 0.5000, 0.6632)

---

# 2
Density functional theory data (PBE-GGA) for a relaxed structure of MgFePdPt.

Summary:
Space group   F-43m, No. 216

Cell lengths 4.3951, 4.3951, 4.3951 Å; angles 60.00, 60.00, 60.00 degrees
Fractional positions:
Mg (0.0000, 0.0000, 0.0000)
Fe (0.5000, 0.5000, 0.5000)
Pd (0.7500, 0.7500, 0.7500)
Pt (0.2500, 0.2500, 0.2500)

---

# 3
Density functional theory data (PBE-GGA) for a relaxed structure of Mg2FePdPt5.

Summary:
Space group   I4/mcm, No. 140

Cell lengths 7.5728, 7.5728, 7.5728 Å; angles 121.31, 121.31, 87.74 degrees
Fractional positions:
Mg (0.1116, 0.6116, 0.7232)
Mg (0.3884, 0.1116, 0.5000)
Mg (0.6116, 0.8884, 0.5000)
Mg (0.8884, 0.3884, 0.2768)
Fe (0.2500, 0.2500, 0.0000)
Fe (0.7500, 0.7500, 0.0000)
Pd (0.2500, 0.7500, 0.5000)
Pd (0.7500, 0.2500, 0.5000)
Pt (0.0000, 0.0000, 0.0000)
Pt (0.0744, 0.1617, 0.5000)
Pt (0.1617, 0.6617, 0.0873)
Pt (0.3383, 0.4256, 0.5000)
Pt (0.4256, 0.9256, 0.0873)
Pt (0.5000, 0.5000, 0.0000)
Pt (0.5744, 0.0744, 0.9127)
Pt (0.6617, 0.5744, 0.5000)
Pt (0.8383, 0.3383, 0.9127)
Pt (0.9256, 0.8383, 0.5000)

---

# 4
Density functional theory data (PBE-GGA) for a relaxed structure of MgFePdRh.

Summary:
Space group   F-43m, No. 216

Cell lengths 4.3521, 4.3521, 4.3521 Å; angles 60.00, 60.00, 60.00 degrees
Fractional positions:
Mg (0.0000, 0.0000, 0.0000)
Fe (0.5000, 0.5000, 0.5000)
Pd (0.7500, 0.7500, 0.7500)
Rh (0.2500, 0.2500, 0.2500)

---

Record order is preserved below.
Calculated formation energy: -0.2234, -0.4125, 0.0567, -0.3148 eV/atom
Record order is preserved below.
Electronic total energy: -67.9, -22.9, -93.1, -23.9 eV/cell
Record order is preserved below.
D(E_F): 12.43, 3.10, 17.40, 3.09 states/eV per cell